Entry 1:
Zn3TePd12 | Alexandria via LeMat-Bulk | GGA-PBE | optimized geometry; ΔE_f (raw) = -4.49 eV per formula unit
1.0
-3.333 -1.916 -0.944
1.791 -1.555 -3.169
4.646 -12.367 8.697
Pd Te Zn
12 1 3
Cartesian
1.513 -2.421 -0.429
4.925 -11.501 5.957
0.415 -4.891 0.163
3.783 -8.463 3.821
2.654 -5.458 1.707
2.690 -10.946 4.421
0.092 -5.639 2.820
-0.771 -1.736 -2.056
1.221 -8.644 4.933
2.363 -11.682 7.070
1.552 -7.919 2.292
-1.049 -2.601 0.684
0.000 0.000 0.000
2.323 -6.183 4.348
3.446 -9.171 6.450
1.201 -3.195 2.247

=====

Entry 2:
ZnTe2Pd6 | Alexandria via LeMat-Bulk | GGA-PBE | optimized geometry; ΔE_f (raw) = -2.16 eV per formula unit
1.0
7.047 0.000 0.146
0.000 5.861 0.000
-0.637 0.000 7.931
Te Pd Zn
4 12 2
Cartesian
3.005 1.266 2.263
6.210 1.665 6.302
0.201 4.196 1.775
3.406 4.595 5.814
2.081 5.019 3.543
4.737 4.920 2.113
4.329 0.843 4.534
0.894 3.872 6.006
5.287 3.773 7.582
5.516 1.989 2.071
4.102 0.623 7.581
1.124 2.088 0.495
2.309 5.239 0.496
0.897 2.308 3.543
1.674 0.942 5.964
5.514 3.553 4.534
-0.318 0.000 3.966
3.524 2.931 0.073

=====

Entry 3:
Zn2TePd2 | Alexandria via LeMat-Bulk | GGA-PBE | optimized geometry; polymorph energy (0 for the lowest one) = 75 meV/atom; ΔE_f (raw) = -1.19 eV per formula unit
1.0
-5.313 -5.447 -0.284
1.296 -0.875 -7.452
2.085 -2.066 0.605
Te Pd Zn
2 4 4
Cartesian
0.000 0.000 0.000
-2.008 -3.161 -3.868
-0.613 -3.064 -0.925
1.082 -2.428 -4.595
-3.014 -5.960 -2.536
-1.319 -5.324 -6.206
-3.206 -3.588 -1.200
-3.761 -5.259 -4.991
-0.811 -2.734 -6.536
-0.256 -1.063 -2.746

=====

Entry 4:
ZnTePd6 | Alexandria via LeMat-Bulk | GGA-PBE | optimized geometry; polymorph energy (0 for the lowest one) = 77 meV/atom; ΔE_f (raw) = -1.18 eV per formula unit
1.0
6.493 0.075 -0.021
3.300 5.676 0.023
3.219 1.925 3.671
Zn Pd Te
1 6 1
Cartesian
6.506 3.838 1.836
8.885 3.409 0.945
8.107 5.682 2.709
5.759 6.156 0.960
7.253 1.520 2.713
4.127 4.267 2.728
4.905 1.994 0.964
0.000 0.000 0.000

=====

Question: Among the records above, which one has the lowest ΔE_f (raw)?
Answer: Zn3TePd12

=====

Question: Which formula does entry 1 have?
Answer: Zn3TePd12

=====

Question: Which formula does entry 3 have?
Answer: Zn2TePd2

=====

Question: Look up the ΔE_f (raw) of the first one.
Answer: -4.49 eV per formula unit